A geometry-optimized Na2CaMn3Si6O18 structure. Source: the Alexandria database, functional GGA+U.

Unit cell a=6.6272 b=7.2474 c=7.5835 alpha=99.56 beta=93.44 gamma=89.15
With the nearest neighbours (Å) after each atom.
Sites, in units of the cell vectors:
Si 0.6419 0.2407 0.9506  4 O 1.61-1.68
Si 0.8568 0.4722 0.7023  4 O 1.58-1.67
Si 0.1595 0.0877 0.2891  4 O 1.57-1.69
Si 0.1439 0.5274 0.2845  4 O 1.61-1.70
Si 0.3563 0.7592 0.0444  4 O 1.64-1.67
Si 0.8412 0.9051 0.7293  4 O 1.62-1.68
O 0.2665 0.9720 0.1060  2 Si 1.65-1.69
O 0.8624 0.6962 0.7808  2 Si 1.63
O 0.7753 0.0402 0.9187  2 Si 1.68
O 0.4388 0.2182 0.8168  1 Si 1.63
O 0.0698 0.3873 0.6464  1 Si 1.58
O 0.3819 0.7351 0.8264  1 Si 1.65
O 0.1508 0.2990 0.2332  2 Si 1.64-1.65
O 0.0648 0.9719 0.6914  1 Si 1.62
O 0.9214 0.6028 0.3374  1 Si 1.61
O 0.3261 0.0810 0.4574  1 Si 1.64
O 0.3391 0.5964 0.4270  1 Si 1.66
O 0.7929 0.3923 0.8835  2 Si 1.66
O 0.5634 0.7407 0.1701  1 Si 1.64
O 0.6094 0.3063 0.1609  1 Si 1.61
O 0.6667 0.4242 0.5471  1 Si 1.67
O 0.9461 0.0023 0.3034  1 Si 1.57
O 0.6440 0.9046 0.5856  1 Si 1.65
O 0.1931 0.6026 0.0914  2 Si 1.67-1.70
Mn 0.3658 0.4424 0.6621  3 O 2.00-2.22
Mn 0.3488 0.9308 0.6528  4 O 1.93-2.09
Mn 0.6292 0.5694 0.3424  5 O 1.96-2.16
Na 0.8757 0.7619 0.0830  5 O 2.23-2.41
Na 0.1224 0.2338 0.9189  5 O 2.27-2.51
Ca 0.6461 0.0961 0.3573  3 O 2.13-2.31

## Properties
SG ... P1, No. 1
Raw total energy ... -7.400 eV/atom
Size of the total moment ... 13.00 μB/f.u.